Entry a
This record from OQMD via LeMat-Bulk describes crystalline TaAlZnCu at its relaxed geometry. The functional is GGA-PBE.

a = 4.4027 Å, b = 4.4027 Å, c = 4.4027 Å
α = 60.00°, β = 60.00°, γ = 60.00°
Element x y z (fractional)
Ta1 0.0000 0.0000 0.0000
Al1 0.2500 0.2500 0.2500
Zn1 0.7500 0.7500 0.7500
Cu1 0.5000 0.5000 0.5000

***

Entry b
This record from OQMD via LeMat-Bulk describes crystalline TaAlZnCu at its relaxed geometry. The functional is GGA-PBE.

a = 4.3779 Å, b = 4.3779 Å, c = 4.3779 Å
α = 60.00°, β = 60.00°, γ = 60.00°
Element x y z (fractional)
Ta1 0.0000 0.0000 0.0000
Al1 0.5000 0.5000 0.5000
Zn1 0.2500 0.2500 0.2500
Cu1 0.7500 0.7500 0.7500

***

Most stable structure - entry b; separation to the second - 0.022 eV/atom.

***

Entry a
This record from OQMD via LeMat-Bulk describes crystalline AlZnCuW at its relaxed geometry. The functional is GGA-PBE.

a = 4.3299 Å, b = 4.3299 Å, c = 4.3299 Å
α = 60.00°, β = 60.00°, γ = 60.00°
Element x y z (fractional)
Al1 0.0000 0.0000 0.0000
Zn1 0.7500 0.7500 0.7500
Cu1 0.2500 0.2500 0.2500
W1 0.5000 0.5000 0.5000

***

Entry b
This record from OQMD via LeMat-Bulk describes crystalline AlZnCuW at its relaxed geometry. The functional is GGA-PBE.

a = 4.3282 Å, b = 4.3282 Å, c = 4.3282 Å
α = 60.00°, β = 60.00°, γ = 60.00°
Element x y z (fractional)
Al1 0.0000 0.0000 0.0000
Zn1 0.5000 0.5000 0.5000
Cu1 0.2500 0.2500 0.2500
W1 0.7500 0.7500 0.7500

***

Most stable structure - entry b; separation to the second - 0.064 eV/atom.

***

Entry a
This record from OQMD via LeMat-Bulk describes crystalline Dy3Al2 at its relaxed geometry. The functional is GGA-PBE.

a = 8.2286 Å, b = 8.2286 Å, c = 7.5949 Å
α = 90.00°, β = 90.00°, γ = 90.00°
Element x y z (fractional)
Dy1 0.0000 0.5000 0.2500
Dy2 0.0000 0.5000 0.7500
Dy3 0.1497 0.1497 0.0000
Dy4 0.2018 0.2018 0.5000
Dy5 0.2982 0.7018 0.0000
Dy6 0.3503 0.6497 0.5000
Dy7 0.5000 0.0000 0.2500
Dy8 0.5000 0.0000 0.7500
Dy9 0.6497 0.3503 0.5000
Dy10 0.7018 0.2982 0.0000
Dy11 0.7982 0.7982 0.5000
Dy12 0.8503 0.8503 0.0000
Al1 0.1190 0.8810 0.3056
Al2 0.1190 0.8810 0.6944
Al3 0.3810 0.3810 0.1944
Al4 0.3810 0.3810 0.8056
Al5 0.6190 0.6190 0.1944
Al6 0.6190 0.6190 0.8056
Al7 0.8810 0.1190 0.3056
Al8 0.8810 0.1190 0.6944

***

Entry b
This record from OQMD via LeMat-Bulk describes crystalline Dy3Al2 at its relaxed geometry. The functional is GGA-PBE.

a = 9.3370 Å, b = 9.3370 Å, c = 9.3370 Å
α = 39.71°, β = 39.71°, γ = 39.71°
Element x y z (fractional)
Dy1 0.0781 0.7500 0.4219
Dy2 0.2500 0.5781 0.9219
Dy3 0.4219 0.0781 0.7500
Dy4 0.5781 0.9219 0.2500
Dy5 0.7500 0.4219 0.0781
Dy6 0.9219 0.2500 0.5781
Al1 0.1650 0.1650 0.1650
Al2 0.3350 0.3350 0.3350
Al3 0.6650 0.6650 0.6650
Al4 0.8350 0.8350 0.8350

***

Most stable structure - entry a; separation to the second - 0.375 eV/atom.

***

Entry a
This record from OQMD via LeMat-Bulk describes crystalline Dy2Er3Al3 at its relaxed geometry. The functional is GGA-PBE.

a = 5.3459 Å, b = 6.3858 Å, c = 6.3858 Å
α = 70.44°, β = 90.00°, γ = 90.00°
Element x y z (fractional)
Dy1 0.0000 0.0000 0.0000
Dy2 0.5000 0.3870 0.3870
Er1 0.0000 0.5906 0.5906
Er2 0.5000 0.3673 0.8950
Er3 0.5000 0.8950 0.3673
Al1 0.0000 0.1102 0.4739
Al2 0.0000 0.4739 0.1102
Al3 0.5000 0.8564 0.8564

***

Entry b
This record from OQMD via LeMat-Bulk describes crystalline Dy2Er3Al3 at its relaxed geometry. The functional is GGA-PBE.

a = 6.4703 Å, b = 4.9445 Å, c = 6.4766 Å
α = 90.00°, β = 103.11°, γ = 90.00°
Element x y z (fractional)
Dy1 0.0000 0.0000 0.0000
Dy2 0.2970 0.5000 0.7878
Er1 0.2896 0.5000 0.2868
Er2 0.5784 0.0000 0.5717
Er3 0.7877 0.5000 0.2822
Al1 0.0739 0.0000 0.5028
Al2 0.5054 0.0000 0.0719
Al3 0.7938 0.5000 0.7803

***

Entry c
This record from OQMD via LeMat-Bulk describes crystalline Dy2Er3Al3 at its relaxed geometry. The functional is GGA-PBE.

a = 6.8300 Å, b = 6.8300 Å, c = 5.1106 Å
α = 90.00°, β = 90.00°, γ = 120.00°
Element x y z (fractional)
Dy1 0.0000 0.0000 0.0000
Dy2 0.3333 0.6667 0.5000
Er1 0.3481 0.1740 0.5000
Er2 0.8260 0.1740 0.5000
Er3 0.8260 0.6519 0.5000
Al1 0.5233 0.0466 0.0000
Al2 0.5233 0.4767 0.0000
Al3 0.9534 0.4767 0.0000

***

Most stable structure - entry b; separation to the second - 0.112 eV/atom.

***

Entry a
This record from OQMD via LeMat-Bulk describes crystalline Dy2Al3Ga3 at its relaxed geometry. The functional is GGA-PBE.

a = 6.2463 Å, b = 4.5687 Å, c = 6.2679 Å
α = 90.00°, β = 119.47°, γ = 90.00°
Element x y z (fractional)
Dy1 0.0000 0.0000 0.0000
Dy2 0.3317 0.5000 0.6744
Al1 0.5179 0.0000 0.4788
Al2 0.8114 0.5000 0.1951
Al3 0.9578 0.0000 0.4773
Ga1 0.3681 0.5000 0.1949
Ga2 0.5209 0.0000 0.0378
Ga3 0.8120 0.5000 0.6349

***

Entry b
This record from OQMD via LeMat-Bulk describes crystalline Dy2Al3Ga3 at its relaxed geometry. The functional is GGA-PBE.

a = 6.2940 Å, b = 6.2940 Å, c = 4.5285 Å
α = 90.00°, β = 90.00°, γ = 120.00°
Element x y z (fractional)
Dy1 0.0000 0.0000 0.0000
Dy2 0.3333 0.6667 0.5000
Al1 0.5205 0.0410 0.0000
Al2 0.5205 0.4795 0.0000
Al3 0.9590 0.4795 0.0000
Ga1 0.3715 0.1857 0.5000
Ga2 0.8143 0.1857 0.5000
Ga3 0.8143 0.6285 0.5000

***

Most stable structure - entry b; separation to the second - 0.006 eV/atom.

***

Entry a
This record from OQMD via LeMat-Bulk describes crystalline DyAlGa3Ni at its relaxed geometry. The functional is GGA-PBE.

a = 7.9201 Å, b = 7.9201 Å, c = 6.5612 Å
α = 90.00°, β = 90.00°, γ = 150.19°
Element x y z (fractional)
Dy1 0.1198 0.8802 0.7500
Dy2 0.8802 0.1198 0.2500
Al1 0.0725 0.9275 0.2500
Al2 0.9275 0.0725 0.7500
Ga1 0.3150 0.6850 0.5512
Ga2 0.3150 0.6850 0.9488
Ga3 0.5000 0.5000 0.0000
Ga4 0.5000 0.5000 0.5000
Ga5 0.6850 0.3150 0.0512
Ga6 0.6850 0.3150 0.4488
Ni1 0.2244 0.7756 0.2500
Ni2 0.7756 0.2244 0.7500

***

Entry b
This record from OQMD via LeMat-Bulk describes crystalline DyAlGa3Ni at its relaxed geometry. The functional is GGA-PBE.

a = 7.9062 Å, b = 7.9062 Å, c = 6.5277 Å
α = 90.00°, β = 90.00°, γ = 149.93°
Element x y z (fractional)
Dy1 0.1209 0.8791 0.7500
Dy2 0.8791 0.1209 0.2500
Al1 0.5000 0.5000 0.0000
Al2 0.5000 0.5000 0.5000
Ga1 0.0696 0.9304 0.2500
Ga2 0.3159 0.6841 0.5503
Ga3 0.3159 0.6841 0.9497
Ga4 0.6841 0.3159 0.0503
Ga5 0.6841 0.3159 0.4497
Ga6 0.9304 0.0696 0.7500
Ni1 0.2236 0.7764 0.2500
Ni2 0.7764 0.2236 0.7500

***

Most stable structure - entry a; separation to the second - 0.005 eV/atom.

***

Entry a
This record from OQMD via LeMat-Bulk describes crystalline Dy3Al3GeIr2 at its relaxed geometry. The functional is GGA-PBE.

a = 8.0127 Å, b = 8.0127 Å, c = 3.1719 Å
α = 90.00°, β = 90.00°, γ = 120.00°
Element x y z (fractional)
Dy1 0.0000 0.7080 0.0000
Dy2 0.2920 0.2920 0.0000
Dy3 0.7080 0.0000 0.0000
Al1 0.0000 0.3858 0.5000
Al2 0.3858 0.0000 0.5000
Al3 0.6142 0.6142 0.5000
Ge1 0.0000 0.0000 0.5000
Ir1 0.3333 0.6667 0.0000
Ir2 0.6667 0.3333 0.0000

***

Entry b
This record from OQMD via LeMat-Bulk describes crystalline Dy3Al3GeIr2 at its relaxed geometry. The functional is GGA-PBE.

a = 7.2573 Å, b = 7.2573 Å, c = 3.9400 Å
α = 90.00°, β = 90.00°, γ = 120.00°
Element x y z (fractional)
Dy1 0.0000 0.5950 0.0000
Dy2 0.4050 0.4050 0.0000
Dy3 0.5950 0.0000 0.0000
Al1 0.0000 0.2700 0.5000
Al2 0.2700 0.0000 0.5000
Al3 0.7300 0.7300 0.5000
Ge1 0.0000 0.0000 0.0000
Ir1 0.3333 0.6667 0.5000
Ir2 0.6667 0.3333 0.5000

***

Most stable structure - entry b; separation to the second - 0.409 eV/atom.

***

Entry a
This record from OQMD via LeMat-Bulk describes crystalline Dy3Al3Ni2Ge at its relaxed geometry. The functional is GGA-PBE.

a = 7.2480 Å, b = 7.2480 Å, c = 3.7956 Å
α = 90.00°, β = 90.00°, γ = 120.00°
Element x y z (fractional)
Dy1 0.0000 0.5944 0.0000
Dy2 0.4056 0.4056 0.0000
Dy3 0.5944 0.0000 0.0000
Al1 0.0000 0.2655 0.5000
Al2 0.2655 0.0000 0.5000
Al3 0.7345 0.7345 0.5000
Ni1 0.3333 0.6667 0.5000
Ni2 0.6667 0.3333 0.5000
Ge1 0.0000 0.0000 0.0000

***

Entry b
This record from OQMD via LeMat-Bulk describes crystalline Dy3Al3Ni2Ge at its relaxed geometry. The functional is GGA-PBE.

a = 7.8896 Å, b = 7.8896 Å, c = 3.2675 Å
α = 90.00°, β = 90.00°, γ = 120.00°
Element x y z (fractional)
Dy1 0.0000 0.3033 0.0000
Dy2 0.3033 0.0000 0.0000
Dy3 0.6967 0.6967 0.0000
Al1 0.0000 0.6239 0.5000
Al2 0.3761 0.3761 0.5000
Al3 0.6239 0.0000 0.5000
Ni1 0.3333 0.6667 0.0000
Ni2 0.6667 0.3333 0.0000
Ge1 0.0000 0.0000 0.5000

***

Most stable structure - entry a; separation to the second - 0.364 eV/atom.